## Ce3SnO8 (GGA-PBEsol)

Data for a relaxed structure of Ce3SnO8.

The space group is R-3m (No. 166, hexagonal axes) and the conventional cell measures 3.7687, 3.7687 and 36.9422 Å, with angles of 90.00, 90.00 and 120.00 degrees. The distinct sites, in fractional coordinates, are Ce at (0.0000, 0.0000, 0.0000), Ce at (0.0000, 0.0000, 0.2477), Sn at (0.0000, 0.0000, 0.5000), O at (0.0000, 0.0000, 0.0642), O at (0.0000, 0.0000, 0.1841), O at (0.0000, 0.0000, 0.3119) and O at (0.0000, 0.0000, 0.4416).

The calculation puts the total DFT energy (no corrections) at -303.98 eV for the cell shown. The density is 7.31 g cm⁻³. As for the raw formation energy: -2941 meV/atom.

***

## SrCe2O4 (GGA-PBEsol)

Data for a relaxed structure of SrCe2O4.

The space group is Pnma (No. 62) and the conventional cell measures 9.839, 3.561 and 12.066 Å, with angles of 90.00, 90.00 and 90.00 degrees. The distinct sites, in fractional coordinates, are Sr at (0.237, 0.250, 0.148), Ce at (0.063, 0.750, 0.384), Ce at (0.107, 0.750, 0.898), O at (0.008, 0.750, 0.716), O at (0.056, 0.750, 0.085), O at (0.150, 0.250, 0.507) and O at (0.231, 0.250, 0.803).

The calculation puts the total DFT energy (no corrections) at -231.64 eV for the cell shown. The density is 6.78 g cm⁻³. For the density of states at the Fermi level, the calculation gives 7.12 states/eV/f.u. As for the raw formation energy: -3126 meV/atom.

***

## Sr2CeO4 (GGA-PBEsol)

Data for a relaxed structure of Sr2CeO4.

The space group is Pbam (No. 55) and the conventional cell measures 6.075, 10.271 and 3.596 Å, with angles of 90.00, 90.00 and 90.00 degrees. The distinct sites, in fractional coordinates, are Sr at (0.063, 0.179, 0.000), Ce at (0.000, 0.500, 0.500), O at (0.144, 0.695, 0.500) and O at (0.226, 0.458, 0.000).

The calculation puts the total DFT energy (no corrections) at -106.10 eV for the cell shown. The density is 5.62 g cm⁻³. For the density of states at the Fermi level, the calculation gives 0.00 states/eV/f.u. As for the raw formation energy: -3111 meV/atom.

***

## SrCe3V4O16 (GGA-PBEsol)

Data for a relaxed structure of SrCe3V4O16.

The space group is P-4m2 (No. 115) and the conventional cell measures 7.296, 7.296 and 6.405 Å, with angles of 90.00, 90.00 and 90.00 degrees. The distinct sites, in fractional coordinates, are Sr at (0.000, 0.000, 0.000), Ce at (0.000, 0.500, 0.249), Ce at (0.500, 0.500, 0.500), V at (0.000, 0.000, 0.500), V at (0.000, 0.500, 0.749), V at (0.500, 0.500, 0.000), O at (0.000, 0.188, 0.339), O at (0.000, 0.326, 0.923), O at (0.184, 0.500, 0.575) and O at (0.319, 0.500, 0.173).

The calculation puts the total DFT energy (no corrections) at -214.20 eV for the cell shown. The density is 4.71 g cm⁻³. For the density of states at the Fermi level, the calculation gives 17.12 states/eV/f.u. As for the raw formation energy: -2919 meV/atom.

***

## CeTa7O19 (GGA-PBEsol)

Data for a relaxed structure of CeTa7O19.

The space group is P-6c2 (No. 188) and the conventional cell measures 6.2141, 6.2141 and 20.0131 Å, with angles of 90.00, 90.00 and 120.00 degrees. The distinct sites, in fractional coordinates, are Ce at (0.0000, 0.0000, 0.0000), Ta at (0.0289, 0.3336, 0.1560), Ta at (0.3333, 0.6667, 0.0000), O at (0.0000, 0.0000, 0.1304), O at (0.0412, 0.2875, 0.2500), O at (0.0957, 0.3838, 0.0565), O at (0.3333, 0.6667, 0.1680) and O at (0.4182, 0.0847, 0.6534).

The energy above the most stable polymorph in this dataset comes out at 0.00 kJ/mol of atoms. The calculation puts the total DFT energy (no corrections) at -547.00 eV for the cell shown. The density is 8.49 g cm⁻³. For the density of states at the Fermi level, the calculation gives 9.26 states/eV/f.u. As for the raw formation energy: -2937 meV/atom.

***

## CeTa7O19 (GGA-PBEsol)

Data for a relaxed structure of CeTa7O19.

The space group is P6_322 (No. 182) and the conventional cell measures 6.2294, 6.2294 and 20.0584 Å, with angles of 90.00, 90.00 and 120.00 degrees. The distinct sites, in fractional coordinates, are Ce at (0.3333, 0.6667, 0.2500), Ta at (0.0019, 0.3617, 0.9053), Ta at (0.3333, 0.6667, 0.7500), O at (0.0000, 0.3969, 0.0000), O at (0.0026, 0.2485, 0.4035), O at (0.0485, 0.4264, 0.8057), O at (0.3333, 0.6667, 0.1168) and O at (0.3333, 0.6667, 0.5907).

The energy above the most stable polymorph in this dataset comes out at 0.97 kJ/mol of atoms. The calculation puts the total DFT energy (no corrections) at -546.46 eV for the cell shown. The density is 8.43 g cm⁻³. For the density of states at the Fermi level, the calculation gives 9.45 states/eV/f.u. As for the raw formation energy: -2927 meV/atom.